[1]
# LaMg2Re PBE-GGA optimized geometry
# **ΔE to the lowest computed polymorph**: 0.22 eV/f.u.
# **Energy relative to the elements**: 8.22 kcal/mol of atoms
data_LaMg2Re
_chemical_formula_sum 'La1 Mg2 Re1'
_space_group_name_H-M_alt 'P m m m'
_space_group_IT_number 47
_space_group_name_Hall '-P 2 2'
_cell_length_a 2.9443
_cell_length_b 4.7279
_cell_length_c 6.0824
_cell_angle_alpha 90.00
_cell_angle_beta 90.00
_cell_angle_gamma 90.00
loop_
_atom_site_label
_atom_site_fract_x
_atom_site_fract_y
_atom_site_fract_z
La1 0.0000 0.0000 0.0000
Mg1 0.5000 0.5000 0.2859
Re1 0.0000 0.0000 0.5000

[2]
# CeNdAu4 PBE-GGA optimized geometry
# **Energy relative to the elements**: -16.52 kcal/mol of atoms
data_CeNdAu4
_chemical_formula_sum 'Ce1 Nd1 Au4'
_space_group_name_H-M_alt 'P 4/m m m'
_space_group_IT_number 123
_space_group_name_Hall '-P 4 2'
_cell_length_a 3.8528
_cell_length_b 3.8528
_cell_length_c 9.3335
_cell_angle_alpha 90.00
_cell_angle_beta 90.00
_cell_angle_gamma 90.00
loop_
_atom_site_label
_atom_site_fract_x
_atom_site_fract_y
_atom_site_fract_z
Ce1 0.0000 0.0000 0.0000
Nd1 0.5000 0.5000 0.5000
Au1 0.0000 0.0000 0.3336
Au2 0.5000 0.5000 0.1666

[3]
# MnInSi PBE-GGA optimized geometry
# **Total energy**: -5.676 eV per atom
data_MnInSi
_chemical_formula_sum 'Mn2 In2 Si2'
_space_group_name_H-M_alt 'I 4 m m'
_space_group_IT_number 107
_space_group_name_Hall 'I 4 -2'
_cell_length_a 3.1051
_cell_length_b 3.1051
_cell_length_c 9.4642
_cell_angle_alpha 90.00
_cell_angle_beta 90.00
_cell_angle_gamma 90.00
loop_
_atom_site_label
_atom_site_fract_x
_atom_site_fract_y
_atom_site_fract_z
Mn1 0.0000 0.0000 0.0000
In1 0.0000 0.0000 0.3024
Si1 0.0000 0.0000 0.5946

[4]
# Th4Au2S PBE-GGA optimized geometry
# **Total energy**: -6.586 eV per atom
data_Th4Au2S
_chemical_formula_sum 'Th8 Au4 S2'
_space_group_name_H-M_alt 'C 1 2/m 1'
_space_group_IT_number 12
_space_group_name_Hall '-C 2y'
_cell_length_a 12.8681
_cell_length_b 4.0022
_cell_length_c 8.8852
_cell_angle_alpha 90.00
_cell_angle_beta 123.11
_cell_angle_gamma 90.00
loop_
_atom_site_label
_atom_site_fract_x
_atom_site_fract_y
_atom_site_fract_z
Th1 0.0870 0.0000 0.3677
Th2 0.1759 0.5000 0.0870
Au1 0.1214 0.5000 0.6688
S1 0.0000 0.0000 0.0000

[5]
# Sm8ZnGe3Te4 PBE-GGA optimized geometry
# **Total energy**: -5.185 eV per atom
data_Sm8ZnGe3Te4
_chemical_formula_sum 'Sm24 Zn3 Ge9 Te12'
_space_group_name_H-M_alt 'R -3 m'
_space_group_IT_number 166
_space_group_name_Hall '-R 3 2"'
_cell_length_a 8.6276
_cell_length_b 8.6276
_cell_length_c 21.7832
_cell_angle_alpha 90.00
_cell_angle_beta 90.00
_cell_angle_gamma 120.00
loop_
_atom_site_label
_atom_site_fract_x
_atom_site_fract_y
_atom_site_fract_z
Sm1 0.0000 0.0000 0.2404
Sm2 0.0080 0.5040 0.7564
Zn1 0.0000 0.0000 0.5000
Ge1 0.0000 0.5000 0.5000
Te1 0.0000 0.0000 0.0000
Te2 0.0000 0.5000 0.0000

[6]
# La4Cd5Co2 PBE-GGA optimized geometry
# **Energy relative to the elements**: -5.68 kcal/mol of atoms
data_La4Cd5Co2
_chemical_formula_sum 'La4 Cd5 Co2'
_space_group_name_H-M_alt 'P 1 2/m 1'
_space_group_IT_number 10
_space_group_name_Hall '-P 2y'
_cell_length_a 7.8893
_cell_length_b 3.7570
_cell_length_c 9.6838
_cell_angle_alpha 90.00
_cell_angle_beta 94.32
_cell_angle_gamma 90.00
loop_
_atom_site_label
_atom_site_fract_x
_atom_site_fract_y
_atom_site_fract_z
La1 0.1678 0.0000 0.3378
La2 0.2118 0.0000 0.9473
Cd1 0.1875 0.5000 0.6507
Cd2 0.4538 0.5000 0.1750
Cd3 0.5000 0.5000 0.5000
Co1 0.0748 0.5000 0.1416

[7]
# CuTcO2 PBE-GGA optimized geometry
# **ΔE to the lowest computed polymorph**: 1.22 eV/f.u.
data_CuTcO2
_chemical_formula_sum 'Cu3 Tc3 O6'
_space_group_name_H-M_alt 'R -3 m'
_space_group_IT_number 166
_space_group_name_Hall '-R 3 2"'
_cell_length_a 2.8596
_cell_length_b 2.8596
_cell_length_c 18.5151
_cell_angle_alpha 90.00
_cell_angle_beta 90.00
_cell_angle_gamma 120.00
loop_
_atom_site_label
_atom_site_fract_x
_atom_site_fract_y
_atom_site_fract_z
Cu1 0.0000 0.0000 0.0000
Tc1 0.0000 0.0000 0.5000
O1 0.0000 0.0000 0.3994

[8]
# SmGa2Cu6 PBE-GGA optimized geometry
# **ΔE to the lowest computed polymorph**: 1.66 eV/f.u.
# **Energy relative to the elements**: -0.62 kcal/mol of atoms
data_SmGa2Cu6
_chemical_formula_sum 'Sm2 Ga4 Cu12'
_space_group_name_H-M_alt 'I m m m'
_space_group_IT_number 71
_space_group_name_Hall '-I 2 2'
_cell_length_a 3.8475
_cell_length_b 6.3881
_cell_length_c 11.8844
_cell_angle_alpha 90.00
_cell_angle_beta 90.00
_cell_angle_gamma 90.00
loop_
_atom_site_label
_atom_site_fract_x
_atom_site_fract_y
_atom_site_fract_z
Sm1 0.0000 0.0000 0.0000
Ga1 0.0000 0.5000 0.1282
Cu1 0.0000 0.1784 0.5000
Cu2 0.0000 0.3004 0.3102

[9]
# FeRe2OsI PBE-GGA optimized geometry
# **Total energy**: -7.248 eV per atom
data_FeRe2OsI
_chemical_formula_sum 'Fe1 Re2 Os1 I1'
_space_group_name_H-M_alt 'P 4/m m m'
_space_group_IT_number 123
_space_group_name_Hall '-P 4 2'
_cell_length_a 4.5178
_cell_length_b 4.5178
_cell_length_c 4.5082
_cell_angle_alpha 90.00
_cell_angle_beta 90.00
_cell_angle_gamma 90.00
loop_
_atom_site_label
_atom_site_fract_x
_atom_site_fract_y
_atom_site_fract_z
Fe1 0.0000 0.0000 0.0000
Re1 0.0000 0.5000 0.0000
Os1 0.0000 0.0000 0.5000
I1 0.5000 0.5000 0.5000

[10]
# Rh PBE-GGA optimized geometry
# **ΔE to the lowest computed polymorph**: 0.97 eV/f.u.
# **Energy relative to the elements**: 22.36 kcal/mol of atoms
data_Rh
_chemical_formula_sum 'Rh2'
_space_group_name_H-M_alt 'P 6/m m m'
_space_group_IT_number 191
_space_group_name_Hall '-P 6 2'
_cell_length_a 4.2827
_cell_length_b 4.2827
_cell_length_c 2.4878
_cell_angle_alpha 90.00
_cell_angle_beta 90.00
_cell_angle_gamma 120.00
loop_
_atom_site_label
_atom_site_fract_x
_atom_site_fract_y
_atom_site_fract_z
Rh1 0.3333 0.6667 0.0000

[11]
# NbZnHg PBE-GGA optimized geometry
# **ΔE to the lowest computed polymorph**: 0.54 eV/f.u.
# **Energy relative to the elements**: 6.89 kcal/mol of atoms
data_NbZnHg
_chemical_formula_sum 'Nb8 Zn8 Hg8'
_space_group_name_H-M_alt 'F m m m'
_space_group_IT_number 69
_space_group_name_Hall '-F 2 2'
_cell_length_a 5.4111
_cell_length_b 7.8188
_cell_length_c 10.8250
_cell_angle_alpha 90.00
_cell_angle_beta 90.00
_cell_angle_gamma 90.00
loop_
_atom_site_label
_atom_site_fract_x
_atom_site_fract_y
_atom_site_fract_z
Nb1 0.0000 0.1701 0.0000
Zn1 0.0000 0.0000 0.3895
Hg1 0.2500 0.2500 0.2500

[12]
# Tm3Al9Co2 PBE-GGA optimized geometry
# **Energy relative to the elements**: -10.86 kcal/mol of atoms
data_Tm3Al9Co2
_chemical_formula_sum 'Tm6 Al18 Co4'
_space_group_name_H-M_alt 'I m m m'
_space_group_IT_number 71
_space_group_name_Hall '-I 2 2'
_cell_length_a 4.2553
_cell_length_b 9.6179
_cell_length_c 11.9770
_cell_angle_alpha 90.00
_cell_angle_beta 90.00
_cell_angle_gamma 90.00
loop_
_atom_site_label
_atom_site_fract_x
_atom_site_fract_y
_atom_site_fract_z
Tm1 0.0000 0.0000 0.0000
Tm2 0.0000 0.0000 0.3003
Al1 0.0000 0.2841 0.1270
Al2 0.0000 0.3607 0.3532
Al3 0.0000 0.5000 0.0000
Co1 0.0000 0.1747 0.5000

[13]
# YTlSb2 PBE-GGA optimized geometry
# **ΔE to the lowest computed polymorph**: 1.53 eV/f.u.
data_YTlSb2
_chemical_formula_sum 'Y1 Tl1 Sb2'
_space_group_name_H-M_alt 'P 4 m m'
_space_group_IT_number 99
_space_group_name_Hall 'P 4 -2'
_cell_length_a 3.4626
_cell_length_b 3.4626
_cell_length_c 9.6604
_cell_angle_alpha 90.00
_cell_angle_beta 90.00
_cell_angle_gamma 90.00
loop_
_atom_site_label
_atom_site_fract_x
_atom_site_fract_y
_atom_site_fract_z
Y1 0.0000 0.0000 0.0000
Tl1 0.5000 0.5000 0.7548
Sb1 0.0000 0.0000 0.5308
Sb2 0.5000 0.5000 0.2165

[14]
# Zr5Os4Pt PBE-GGA optimized geometry
# **Energy relative to the elements**: -13.65 kcal/mol of atoms
data_Zr5Os4Pt
_chemical_formula_sum 'Zr5 Os4 Pt1'
_space_group_name_H-M_alt 'P 4/m m m'
_space_group_IT_number 123
_space_group_name_Hall '-P 4 2'
_cell_length_a 3.2460
_cell_length_b 3.2460
_cell_length_c 17.0859
_cell_angle_alpha 90.00
_cell_angle_beta 90.00
_cell_angle_gamma 90.00
loop_
_atom_site_label
_atom_site_fract_x
_atom_site_fract_y
_atom_site_fract_z
Zr1 0.0000 0.0000 0.0000
Zr2 0.0000 0.0000 0.1956
Zr3 0.0000 0.0000 0.3925
Os1 0.5000 0.5000 0.0978
Os2 0.5000 0.5000 0.2940
Pt1 0.5000 0.5000 0.5000

[15]
# OsRu4Rh6 PBE-GGA optimized geometry
# **Energy relative to the elements**: 1.26 kcal/mol of atoms
data_OsRu4Rh6
_chemical_formula_sum 'Os2 Ru8 Rh12'
_space_group_name_H-M_alt 'P -1'
_space_group_IT_number 2
_space_group_name_Hall '-P 1'
_cell_length_a 3.8209
_cell_length_b 4.7010
_cell_length_c 18.9634
_cell_angle_alpha 85.57
_cell_angle_beta 84.25
_cell_angle_gamma 66.16
loop_
_atom_site_label
_atom_site_fract_x
_atom_site_fract_y
_atom_site_fract_z
Os1 0.0853 0.0570 0.2722
Ru1 0.0422 0.2765 0.1372
Ru2 0.1829 0.5888 0.5442
Ru3 0.3643 0.6812 0.0910
Ru4 0.4558 0.2253 0.3623
Rh1 0.0000 0.5000 0.0000
Rh2 0.1345 0.8215 0.4091
Rh3 0.2303 0.3602 0.6798
Rh4 0.2747 0.1307 0.8193
Rh5 0.3214 0.9028 0.9538
Rh6 0.4088 0.4547 0.2285
Rh7 0.5000 0.0000 0.5000

[16]
# SrGeSbTe2 PBE-GGA optimized geometry
# **ΔE to the lowest computed polymorph**: 4.45 eV/f.u.
data_SrGeSbTe2
_chemical_formula_sum 'Sr1 Ge1 Sb1 Te2'
_space_group_name_H-M_alt 'P 4/m m m'
_space_group_IT_number 123
_space_group_name_Hall '-P 4 2'
_cell_length_a 6.0409
_cell_length_b 6.0409
_cell_length_c 6.0027
_cell_angle_alpha 90.00
_cell_angle_beta 90.00
_cell_angle_gamma 90.00
loop_
_atom_site_label
_atom_site_fract_x
_atom_site_fract_y
_atom_site_fract_z
Sr1 0.0000 0.0000 0.0000
Ge1 0.5000 0.5000 0.5000
Sb1 0.0000 0.0000 0.5000
Te1 0.0000 0.5000 0.0000

[17]
# Cu2As PBE-GGA optimized geometry
# **Energy relative to the elements**: 6.64 kcal/mol of atoms
data_Cu2As
_chemical_formula_sum 'Cu8 As4'
_space_group_name_H-M_alt 'I 41/a m d'
_space_group_IT_number 141
_cell_length_a 3.1894
_cell_length_b 3.1894
_cell_length_c 18.0904
_cell_angle_alpha 90.00
_cell_angle_beta 90.00
_cell_angle_gamma 90.00
loop_
_space_group_symop_operation_xyz
'x,y,z'
'-x,-y,-z'
'-y+1/4,x+3/4,z+1/4'
'y+1/4,-x+3/4,-z+1/4'
'-x+1/2,-y,z+1/2'
'x+1/2,y,-z+1/2'
'y+1/4,-x+1/4,z+3/4'
'-y+1/4,x+1/4,-z+3/4'
'x,-y,-z'
'-x,y,z'
'-y+1/4,-x+1/4,-z+3/4'
'y+1/4,x+1/4,z+3/4'
'-x+1/2,y,-z+1/2'
'x+1/2,-y,z+1/2'
'y+1/4,x+3/4,-z+1/4'
'-y+1/4,-x+3/4,z+1/4'
'x+1/2,y+1/2,z+1/2'
'-x+1/2,-y+1/2,-z+1/2'
'-y+3/4,x+1/4,z+3/4'
'y+3/4,-x+1/4,-z+3/4'
'-x,-y+1/2,z'
'x,y+1/2,-z'
'y+3/4,-x+3/4,z+1/4'
'-y+3/4,x+3/4,-z+1/4'
'x+1/2,-y+1/2,-z+1/2'
'-x+1/2,y+1/2,z+1/2'
'-y+3/4,-x+3/4,-z+1/4'
'y+3/4,x+3/4,z+1/4'
'-x,y+1/2,-z'
'x,-y+1/2,z'
'y+3/4,x+1/4,-z+3/4'
'-y+3/4,-x+1/4,z+3/4'
loop_
_atom_site_label
_atom_site_fract_x
_atom_site_fract_y
_atom_site_fract_z
Cu1 0.0000 0.2500 0.3027
As1 0.0000 0.2500 0.8750

[18]
# Si2AgRh PBE-GGA optimized geometry
# **ΔE to the lowest computed polymorph**: 0.85 eV/f.u.
data_Si2AgRh
_chemical_formula_sum 'Si4 Ag2 Rh2'
_space_group_name_H-M_alt 'C m m m'
_space_group_IT_number 65
_space_group_name_Hall '-C 2 2'
_cell_length_a 2.9058
_cell_length_b 4.9560
_cell_length_c 8.6054
_cell_angle_alpha 90.00
_cell_angle_beta 90.00
_cell_angle_gamma 90.00
loop_
_atom_site_label
_atom_site_fract_x
_atom_site_fract_y
_atom_site_fract_z
Si1 0.0000 0.0000 0.2260
Ag1 0.0000 0.5000 0.5000
Rh1 0.0000 0.5000 0.0000

[19]
# Er12Ni6Rh PBE-GGA optimized geometry
# **Energy relative to the elements**: -6.31 kcal/mol of atoms
data_Er12Ni6Rh
_chemical_formula_sum 'Er36 Ni18 Rh3'
_space_group_name_H-M_alt 'R -3'
_space_group_IT_number 148
_space_group_name_Hall '-R 3'
_cell_length_a 12.0858
_cell_length_b 12.0858
_cell_length_c 11.3066
_cell_angle_alpha 90.00
_cell_angle_beta 90.00
_cell_angle_gamma 120.00
loop_
_atom_site_label
_atom_site_fract_x
_atom_site_fract_y
_atom_site_fract_z
Er1 0.0229 0.2074 0.3880
Er2 0.0307 0.2030 0.8777
Ni1 0.0383 0.2609 0.6444
Rh1 0.0000 0.0000 0.0000

[20]
# Th6Te3RuSe2 PBE-GGA optimized geometry
# **Total energy**: -7.008 eV per atom
data_Th6Te3RuSe2
_chemical_formula_sum 'Th12 Te6 Ru2 Se4'
_space_group_name_H-M_alt 'C 1 2/m 1'
_space_group_IT_number 12
_space_group_name_Hall '-C 2y'
_cell_length_a 19.2467
_cell_length_b 4.1779
_cell_length_c 9.0481
_cell_angle_alpha 90.00
_cell_angle_beta 105.46
_cell_angle_gamma 90.00
loop_
_atom_site_label
_atom_site_fract_x
_atom_site_fract_y
_atom_site_fract_z
Th1 0.0021 0.0000 0.2114
Th2 0.1554 0.5000 0.0957
Th3 0.1750 0.5000 0.5692
Te1 0.0000 0.5000 0.5000
Te2 0.1707 0.0000 0.8346
Ru1 0.0000 0.5000 0.0000
Se1 0.1643 0.0000 0.3342